Material: RhO
Method: DFT, PBE-GGA
State: relaxed

Computed properties:
The total magnetization comes out at 0.00 μB per cell. The value obtained for the mass density is 5.710 g/cm3. The formation energy from raw total energies comes out at -0.4 eV/f.u.

a = 9.873 Å, b = 9.873 Å, c = 2.838 Å
α = 90.00°, β = 90.00°, γ = 90.00°
Fractional positions:
Rh  0.851  0.264  0.500
Rh  0.149  0.736  0.500
Rh  0.736  0.851  0.500
Rh  0.264  0.149  0.500
Rh  0.894  0.659  0.000
Rh  0.106  0.341  0.000
Rh  0.341  0.894  0.000
Rh  0.659  0.106  0.000
O  0.752  0.655  0.500
O  0.248  0.345  0.500
O  0.345  0.752  0.500
O  0.655  0.248  0.500
O  0.910  0.387  0.000
O  0.090  0.613  0.000
O  0.613  0.910  0.000
O  0.387  0.090  0.000